[1]
# K2Ta4O11

A geometry-optimized K2Ta4O11 structure (PBE, the Alexandria database).

Structure (POSCAR):
```
K2Ta4O11
1.0
3.173 1.832 12.444
-3.173 1.832 12.444
0.000 -3.664 12.444
K Ta O
4 8 22
direct
0.174 0.174 0.174
0.326 0.326 0.326
0.674 0.674 0.674
0.826 0.826 0.826
0.000 0.000 0.000
0.115 0.750 0.385
0.250 0.615 0.885
0.385 0.115 0.750
0.500 0.500 0.500
0.615 0.885 0.250
0.750 0.385 0.115
0.885 0.250 0.615
0.006 0.494 0.250
0.069 0.761 0.265
0.093 0.093 0.093
0.235 0.739 0.431
0.239 0.735 0.931
0.250 0.006 0.494
0.261 0.569 0.765
0.265 0.069 0.761
0.407 0.407 0.407
0.431 0.235 0.739
0.494 0.250 0.006
0.506 0.750 0.994
0.569 0.765 0.261
0.593 0.593 0.593
0.735 0.931 0.239
0.739 0.431 0.235
0.750 0.994 0.506
0.761 0.265 0.069
0.765 0.261 0.569
0.907 0.907 0.907
0.931 0.239 0.735
0.994 0.506 0.750
```

***

[2]
# PmPr2Dy4Th

A geometry-optimized PmPr2Dy4Th structure (PBE, the Alexandria database).

Properties
ΔE_f	31	meV/atom

Structure (POSCAR):
```
PmPr2Dy4Th
1.0
5.125 0.000 0.000
0.000 5.139 0.000
0.000 0.000 10.041
Pm Pr Dy Th
1 2 4 1
direct
0.000 0.000 0.000
0.000 0.000 0.500
0.500 0.500 0.000
0.000 0.500 0.255
0.000 0.500 0.745
0.500 0.000 0.255
0.500 0.000 0.745
0.500 0.500 0.500
```

***

[3]
# YInOsSe2

A geometry-optimized YInOsSe2 structure (PBE, the Alexandria database).

Structure (POSCAR):
```
YInOsSe2
1.0
5.336 0.000 0.000
0.000 5.336 0.000
0.000 0.000 6.153
Y In Os Se
1 1 1 2
direct
0.000 0.000 0.000
0.000 0.000 0.500
0.500 0.500 0.500
0.000 0.500 0.000
0.500 0.000 0.000
```

***

| no. | DFT total energy (eV/atom) | size of the total moment (Bohr magnetons per cell) |
| --- | --- | --- |
| 1 | -8.883 | 0.00 |
| 2 | -4.987 | 0.00 |
| 3 | -4.491 | 4.01 |